Record 1
Material: Ag2Ge3Se8
Method: DFT, PBE-GGA
State: optimized geometry

## Properties
mass density	5607	kg/m³
magnetization	0.000	μB/f.u.
crystal system	monoclinic
uncorrected energy	-3.687	eV/atom

abc: 13.0985 7.3728 6.6308
angles: 90.00 99.82 90.00
Space group C2/m (No. 12)
One atom of each set of equivalent atoms:
Ag: 0.2182 0.0000 0.0817 [4 per cell]
Ge: 0.0000 0.2491 0.5000 [4 per cell]
Ge: 0.0000 0.5000 0.0000 [2 per cell]
Se: 0.1125 0.5000 0.3615 [4 per cell]
Se: 0.1161 0.0000 0.4035 [4 per cell]
Se: 0.1221 0.2695 0.8588 [8 per cell]

Record 2
Material: SbOs2Br
Method: DFT, PBE-GGA
State: optimized geometry

## Properties
mass density	13765	kg/m³
excess energy over the best structure of this formula in the dataset	22.38	kcal/mol of atoms
magnetization	0.000	μB/f.u.
crystal system	tetragonal
uncorrected energy	-5.668	eV/atom

abc: 3.9263 3.9263 9.1110
angles: 90.00 90.00 90.00
Space group I-4m2 (No. 119)
One atom of each set of equivalent atoms:
Sb: 0.0000 0.0000 0.0000 [2 per cell]
Os: 0.0000 0.0000 0.5000 [2 per cell]
Os: 0.0000 0.5000 0.2500 [2 per cell]
Br: 0.0000 0.5000 0.7500 [2 per cell]

Record 3
Material: TmGa8Cu4
Method: DFT, PBE-GGA
State: optimized geometry

## Properties
energy relative to the elements	-0.20	eV/atom
mass density	7942	kg/m³
magnetization	0.000	μB/f.u.
crystal system	tetragonal
uncorrected energy	-3.669	eV/atom

abc: 8.8479 8.8479 5.2395
angles: 90.00 90.00 90.00
Space group I4/mmm (No. 139)
One atom of each set of equivalent atoms:
Tm: 0.0000 0.0000 0.0000 [2 per cell]
Ga: 0.0000 0.2142 0.5000 [8 per cell]
Ga: 0.0000 0.3456 0.0000 [8 per cell]
Cu: 0.2500 0.2500 0.2500 [8 per cell]

Record 4
Material: Zr4TaSi
Method: DFT, PBE-GGA
State: optimized geometry

## Properties
mass density	7527	kg/m³
magnetization	0.000	μB/f.u.
crystal system	cubic
uncorrected energy	-8.065	eV/atom

abc: 7.9710 7.9710 7.9710
angles: 90.00 90.00 90.00
Space group F-43m (No. 216)
One atom of each set of equivalent atoms:
Zr: 0.1232 0.1232 0.3768 [16 per cell]
Ta: 0.2500 0.2500 0.7500 [4 per cell]
Si: 0.0000 0.0000 0.0000 [4 per cell]

Record 5
Material: Dy3Mg2Pd6
Method: DFT, PBE-GGA
State: optimized geometry

## Properties
energy relative to the elements	-0.79	eV/atom
mass density	8773	kg/m³
magnetization	0.000	μB/f.u.
crystal system	cubic
uncorrected energy	-5.169	eV/atom

abc: 9.6166 9.6166 9.6166
angles: 90.00 90.00 90.00
Space group Im-3m (No. 229)
One atom of each set of equivalent atoms:
Dy: 0.0000 0.0000 0.3038 [12 per cell]
Mg: 0.2500 0.2500 0.2500 [8 per cell]
Pd: 0.0000 0.3381 0.3381 [24 per cell]

Record 6
Material: TlTc2Cl8
Method: DFT, PBE-GGA
State: optimized geometry

## Properties
mass density	3335	kg/m³
excess energy over the best structure of this formula in the dataset	0.00	kcal/mol of atoms
magnetization	7.023	μB/f.u.
crystal system	triclinic
uncorrected energy	-4.052	eV/atom

abc: 5.2587 8.2628 8.2638
angles: 71.56 89.21 89.30
Space group P-1 (No. 2)
One atom of each set of equivalent atoms:
Tl: 0.0000 0.0000 0.0000 [1 per cell]
Tc: 0.2536 0.3957 0.3951 [2 per cell]
Cl: 0.2427 0.5836 0.5842 [2 per cell]
Cl: 0.2654 0.2260 0.2242 [2 per cell]
Cl: 0.2658 0.1561 0.6372 [2 per cell]
Cl: 0.2671 0.6388 0.1563 [2 per cell]

- Look up the magnetization of the first one.
  0.000 μB/f.u.